<A>
VASP calculation (GGA-PBE) on a relaxed TbNiPt4 crystal.

N(E_F) (states/eV per cell): 9.089
Total moment (μB per formula unit): 0.8

abc: 5.312 5.312 5.312
angles: 60.00 60.00 60.00
Fractional positions:
Tb 0.000 0.000 0.000
Ni 0.750 0.750 0.750
Pt 0.376 0.376 0.376
Pt 0.376 0.376 0.873
Pt 0.376 0.873 0.376
Pt 0.873 0.376 0.376


<B>
VASP calculation (GGA-PBE) on a relaxed TbNiPt4 crystal.

N(E_F) (states/eV per cell): 17.242
Total moment (μB per formula unit): 0.8

abc: 7.499 4.054 6.737
angles: 90.00 90.00 90.00
Fractional positions:
Tb 0.250 0.000 0.135
Tb 0.750 0.000 0.865
Ni 0.250 0.000 0.739
Ni 0.750 0.000 0.261
Pt 0.000 0.000 0.500
Pt 0.051 0.500 0.809
Pt 0.250 0.500 0.460
Pt 0.449 0.500 0.809
Pt 0.500 0.000 0.500
Pt 0.551 0.500 0.191
Pt 0.750 0.500 0.540
Pt 0.949 0.500 0.191


Pick <B>: it beats the second-best structure by 33 meV per atom.